(1)
The following is a meta-GGA SCAN calculation of a PBEsol-optimized structure of TmNiC2, from the Alexandria database.

Computed properties:
- M_tot (Bohr magnetons per cell) = 0.000
- DFT formation energy (eV per atom) = -0.438
- ρ (g/cm³) = 9.22
- calculated volume (Å³ per atom) = 11.333
- VASP energy (hartree per atom) = -0.8265

abc: 3.452 4.464 5.885
angles: 90.00 90.00 90.00
Element x y z (fractional)
Tm 0.000 0.000 0.000
Tm 0.000 0.500 0.500
Ni 0.500 0.000 0.390
Ni 0.500 0.500 0.890
C 0.500 0.154 0.701
C 0.500 0.346 0.201
C 0.500 0.654 0.201
C 0.500 0.846 0.701



(2)
The following is a meta-GGA SCAN calculation of a PBEsol-optimized structure of CrP2, from the Alexandria database.

Computed properties:
- M_tot (Bohr magnetons per cell) = 2.568
- DFT formation energy (eV per atom) = -0.121
- ρ (g/cm³) = 4.70
- calculated volume (Å³ per atom) = 13.421
- VASP energy (hartree per atom) = -0.4844

abc: 7.921 2.870 7.139
angles: 90.00 97.09 90.00
Element x y z (fractional)
Cr 0.058 0.000 0.326
Cr 0.442 0.500 0.674
Cr 0.558 0.500 0.326
Cr 0.942 0.000 0.674
P 0.125 0.500 0.094
P 0.152 0.500 0.583
P 0.348 0.000 0.417
P 0.375 0.000 0.906
P 0.625 0.000 0.094
P 0.652 0.000 0.583
P 0.848 0.500 0.417
P 0.875 0.500 0.906



(3)
The following is a meta-GGA SCAN calculation of a PBEsol-optimized structure of CdAuSN2, from the Alexandria database.

Computed properties:
- M_tot (Bohr magnetons per cell) = 4.075
- ρ (g/cm³) = 6.85
- calculated volume (Å³ per atom) = 17.910
- VASP energy (hartree per atom) = -0.8739

abc: 4.053 4.053 5.452
angles: 90.00 90.00 90.00
Element x y z (fractional)
Cd 0.000 0.000 0.000
Au 0.500 0.500 0.500
S 0.000 0.000 0.500
N 0.000 0.500 0.000
N 0.500 0.000 0.000



(4)
The following is a meta-GGA SCAN calculation of a PBEsol-optimized structure of LaCd2Pb, from the Alexandria database.

Computed properties:
- M_tot (Bohr magnetons per cell) = 0.000
- DFT formation energy (eV per atom) = -0.428
- ρ (g/cm³) = 9.03
- calculated volume (Å³ per atom) = 26.254
- VASP energy (hartree per atom) = -1.6668

abc: 4.702 4.702 9.502
angles: 90.00 90.00 90.00
Element x y z (fractional)
La 0.000 0.000 0.000
La 0.500 0.500 0.500
Cd 0.000 0.500 0.250
Cd 0.000 0.500 0.750
Cd 0.500 0.000 0.250
Cd 0.500 0.000 0.750
Pb 0.000 0.000 0.500
Pb 0.500 0.500 0.000



(5)
The following is a meta-GGA SCAN calculation of a PBEsol-optimized structure of SrAs2Br, from the Alexandria database.

Computed properties:
- M_tot (Bohr magnetons per cell) = 0.001
- ρ (g/cm³) = 5.30
- calculated volume (Å³ per atom) = 24.845
- VASP energy (hartree per atom) = -0.7512

abc: 7.353 7.353 7.353
angles: 90.00 90.00 90.00
Element x y z (fractional)
Sr 0.000 0.000 0.000
Sr 0.000 0.500 0.500
Sr 0.500 0.000 0.500
Sr 0.500 0.500 0.000
As 0.250 0.250 0.250
As 0.250 0.250 0.750
As 0.250 0.750 0.250
As 0.250 0.750 0.750
As 0.750 0.250 0.250
As 0.750 0.250 0.750
As 0.750 0.750 0.250
As 0.750 0.750 0.750
Br 0.000 0.000 0.500
Br 0.000 0.500 0.000
Br 0.500 0.000 0.000
Br 0.500 0.500 0.500



(6)
The following is a meta-GGA SCAN calculation of a PBEsol-optimized structure of TeRuBr2, from the Alexandria database.

Computed properties:
- M_tot (Bohr magnetons per cell) = 0.000
- ρ (g/cm³) = 6.09
- calculated volume (Å³ per atom) = 26.476
- VASP energy (hartree per atom) = -1.0309

abc: 3.900 3.900 8.041
angles: 90.00 90.00 120.00
Element x y z (fractional)
Te 0.000 0.000 0.000
Ru 0.333 0.667 0.137
Br 0.000 0.000 0.684
Br 0.667 0.333 0.319



(7)
The following is a meta-GGA SCAN calculation of a PBEsol-optimized structure of Ba2SbPb, from the Alexandria database.

Computed properties:
- M_tot (Bohr magnetons per cell) = 0.000
- ρ (g/cm³) = 7.03
- calculated volume (Å³ per atom) = 35.660
- VASP energy (hartree per atom) = -1.7958

abc: 7.730 9.687 3.810
angles: 90.00 90.00 90.00
Element x y z (fractional)
Ba 0.250 0.250 0.000
Ba 0.250 0.750 0.000
Ba 0.750 0.250 0.000
Ba 0.750 0.750 0.000
Sb 0.000 0.000 0.500
Sb 0.500 0.500 0.500
Pb 0.000 0.500 0.500
Pb 0.500 0.000 0.500



(8)
The following is a meta-GGA SCAN calculation of a PBEsol-optimized structure of ScBi3Mo2O12, from the Alexandria database.

Computed properties:
- M_tot (Bohr magnetons per cell) = 0.000
- ρ (g/cm³) = 7.08
- calculated volume (Å³ per atom) = 13.750
- VASP energy (hartree per atom) = -0.8806

abc: 10.209 10.209 5.294
angles: 102.52 102.52 68.36
Element x y z (fractional)
Sc 0.092 0.908 0.750
Sc 0.908 0.092 0.250
Bi 0.037 0.275 0.937
Bi 0.275 0.037 0.437
Bi 0.344 0.656 0.250
Bi 0.656 0.344 0.750
Bi 0.725 0.963 0.563
Bi 0.963 0.725 0.063
Mo 0.206 0.458 0.578
Mo 0.458 0.206 0.078
Mo 0.542 0.794 0.922
Mo 0.794 0.542 0.422
O 0.059 0.106 0.584
O 0.071 0.494 0.766
O 0.106 0.059 0.084
O 0.159 0.740 0.962
O 0.169 0.597 0.381
O 0.211 0.296 0.366
O 0.260 0.841 0.538
O 0.296 0.211 0.866
O 0.366 0.447 0.792
O 0.403 0.831 0.119
O 0.447 0.366 0.292
O 0.494 0.071 0.266
O 0.506 0.929 0.734
O 0.553 0.634 0.708
O 0.597 0.169 0.881
O 0.634 0.553 0.208
O 0.704 0.789 0.134
O 0.740 0.159 0.462
O 0.789 0.704 0.634
O 0.831 0.403 0.619
O 0.841 0.260 0.038
O 0.894 0.941 0.916
O 0.929 0.506 0.234
O 0.941 0.894 0.416



(9)
The following is a meta-GGA SCAN calculation of a PBEsol-optimized structure of SbIrCl, from the Alexandria database.

Computed properties:
- M_tot (Bohr magnetons per cell) = 0.016
- ρ (g/cm³) = 9.60
- calculated volume (Å³ per atom) = 20.137
- VASP energy (hartree per atom) = -1.3711

abc: 6.229 6.229 6.229
angles: 90.00 90.00 90.00
Element x y z (fractional)
Sb 0.000 0.000 0.000
Sb 0.000 0.500 0.500
Sb 0.500 0.000 0.500
Sb 0.500 0.500 0.000
Ir 0.000 0.000 0.500
Ir 0.000 0.500 0.000
Ir 0.500 0.000 0.000
Ir 0.500 0.500 0.500
Cl 0.250 0.250 0.750
Cl 0.250 0.750 0.250
Cl 0.750 0.250 0.250
Cl 0.750 0.750 0.750



(10)
The following is a meta-GGA SCAN calculation of a PBEsol-optimized structure of KGe2P2, from the Alexandria database.

Computed properties:
- M_tot (Bohr magnetons per cell) = 0.000
- DFT formation energy (eV per atom) = -0.040
- ρ (g/cm³) = 3.92
- calculated volume (Å³ per atom) = 20.844
- VASP energy (hartree per atom) = -0.4961

abc: 4.696 4.696 9.451
angles: 90.00 90.00 90.00
Element x y z (fractional)
K 0.000 0.000 0.000
K 0.500 0.500 0.500
Ge 0.000 0.000 0.346
Ge 0.000 0.000 0.654
Ge 0.500 0.500 0.154
Ge 0.500 0.500 0.846
P 0.000 0.500 0.250
P 0.000 0.500 0.750
P 0.500 0.000 0.250
P 0.500 0.000 0.750



(11)
The following is a meta-GGA SCAN calculation of a PBEsol-optimized structure of TaMo2Pb, from the Alexandria database.

Computed properties:
- M_tot (Bohr magnetons per cell) = 0.000
- DFT formation energy (eV per atom) = 0.521
- ρ (g/cm³) = 13.64
- calculated volume (Å³ per atom) = 17.654
- VASP energy (hartree per atom) = -1.9298

abc: 5.841 9.152 2.889
angles: 90.00 113.87 90.00
Element x y z (fractional)
Ta 0.000 0.000 0.000
Ta 0.500 0.500 0.000
Mo 0.250 0.250 0.500
Mo 0.250 0.750 0.500
Mo 0.750 0.250 0.500
Mo 0.750 0.750 0.500
Pb 0.000 0.500 0.000
Pb 0.500 0.000 0.000



(12)
The following is a meta-GGA SCAN calculation of a PBEsol-optimized structure of FeB4, from the Alexandria database.

Computed properties:
- M_tot (Bohr magnetons per cell) = 0.417
- DFT formation energy (eV per atom) = -0.143
- ρ (g/cm³) = 4.70
- calculated volume (Å³ per atom) = 7.008
- VASP energy (hartree per atom) = -0.3569

abc: 4.458 5.261 2.988
angles: 90.00 90.00 90.00
Element x y z (fractional)
Fe 0.000 0.000 0.000
Fe 0.500 0.500 0.500
B 0.162 0.373 0.000
B 0.249 0.188 0.500
B 0.251 0.688 0.000
B 0.338 0.873 0.500
B 0.662 0.127 0.500
B 0.749 0.312 0.000
B 0.751 0.812 0.500
B 0.838 0.627 0.000